{"formula": "TiTlPdCl6", "functional": "PBE-GGA", "state": "relaxed", "space_group": "C2 (5)", "dos_ef_per_ev_cell": 1.1, "magnetic_moment_mub_per_cell": 1.06, "e_form_raw_kj_per_mol_fu": -942.1, "lattice": [[6.4777, 0.4478, -0.2228], [3.6257, 6.2845, -0.4409], [-0.2245, -0.3836, 6.7158]], "species": ["Ti", "Tl", "Pd", "Cl", "Cl", "Cl", "Cl", "Cl", "Cl"], "frac_coords": [[0.3507, 0.3246, 0.4999], [0.0850, 0.9576, 0.0002], [0.6558, 0.6721, 0.5002], [0.9986, 0.3795, 0.2868], [0.3403, 0.0452, 0.6514], [0.6157, 0.3225, 0.7433], [0.9994, 0.6214, 0.7134], [0.3399, 0.6147, 0.3487], [0.6144, 0.0624, 0.2560]]}